(1)
# PBE-GGA Pa2Si2Os, optimized geometry
data_Pa2Si2Os
_cell_length_a 6.443
_cell_length_b 6.443
_cell_length_c 4.525
_cell_angle_alpha 90.00
_cell_angle_beta 90.00
_cell_angle_gamma 90.00
_symmetry_space_group_name_H-M 'P 4/m b m'
_symmetry_Int_Tables_number 127
_symmetry_space_group_name_Hall '-P 4 2ab'
loop_
_atom_site_label
_atom_site_type_symbol
_atom_site_fract_x
_atom_site_fract_y
_atom_site_fract_z
_atom_site_occupancy
Pa1 Pa 0.168 0.332 0.000 1
Si1 Si 0.134 0.634 0.500 1
Os1 Os 0.000 0.000 0.500 1
# Fermi-level density of states, states/eV per cell: 13.6
# Uncorrected formation energy, eV/atom: -0.629
# Mass density, Mg/m³: 12.53
# Polymorph energy (0 for the lowest one), meV per atom: 19
# Calculated total energy, eV per cell: -88.42

(2)
# PBE-GGA Sc4Tc3, optimized geometry
data_Sc4Tc3
_cell_length_a 5.1956
_cell_length_b 5.1956
_cell_length_c 5.6692
_cell_angle_alpha 90.00
_cell_angle_beta 90.00
_cell_angle_gamma 120.00
_symmetry_space_group_name_H-M 'P 6/m m m'
_symmetry_Int_Tables_number 191
_symmetry_space_group_name_Hall '-P 6 2'
loop_
_atom_site_label
_atom_site_type_symbol
_atom_site_fract_x
_atom_site_fract_y
_atom_site_fract_z
_atom_site_occupancy
Sc1 Sc 0.0000 0.0000 0.2458 1
Sc2 Sc 0.3333 0.6667 0.5000 1
Tc1 Tc 0.0000 0.5000 0.0000 1
# Fermi-level density of states, states/eV per cell: 9.8
# Energy of formation, eV/atom: -0.12
# Mass density, Mg/m³: 5.94
# Polymorph energy (0 for the lowest one), meV per atom: 30
# Calculated total energy, eV per cell: -57.29

(3)
# PBE-GGA Pu2InHg, optimized geometry
data_Pu2InHg
_cell_length_a 7.552
_cell_length_b 7.552
_cell_length_c 7.552
_cell_angle_alpha 90.00
_cell_angle_beta 90.00
_cell_angle_gamma 90.00
_symmetry_space_group_name_H-M 'F m -3 m'
_symmetry_Int_Tables_number 225
_symmetry_space_group_name_Hall '-F 4 2 3'
loop_
_atom_site_label
_atom_site_type_symbol
_atom_site_fract_x
_atom_site_fract_y
_atom_site_fract_z
_atom_site_occupancy
Pu1 Pu 0.250 0.250 0.250 1
In1 In 0.000 0.000 0.000 1
Hg1 Hg 0.000 0.000 0.500 1
# Fermi-level density of states, states/eV per cell: 62.6
# Energy of formation, eV/atom: -0.08
# Mass density, Mg/m³: 12.39
# Calculated total energy, eV per cell: -128.08

(4)
# PBE-GGA Sm5SnS4, optimized geometry
data_Sm5SnS4
_cell_length_a 4.115
_cell_length_b 5.822
_cell_length_c 20.546
_cell_angle_alpha 90.00
_cell_angle_beta 90.00
_cell_angle_gamma 90.00
_symmetry_space_group_name_H-M 'I m m m'
_symmetry_Int_Tables_number 71
_symmetry_space_group_name_Hall '-I 2 2'
loop_
_atom_site_label
_atom_site_type_symbol
_atom_site_fract_x
_atom_site_fract_y
_atom_site_fract_z
_atom_site_occupancy
Sm1 Sm 0.000 0.000 0.000 1
Sm2 Sm 0.000 0.000 0.198 1
Sm3 Sm 0.000 0.000 0.390 1
Sn1 Sn 0.000 0.500 0.000 1
S1 S 0.000 0.500 0.205 1
S2 S 0.000 0.500 0.398 1
# Fermi-level density of states, states/eV per cell: 6.6
# Uncorrected formation energy, eV/atom: -1.729
# Mass density, Mg/m³: 6.74
# Calculated total energy, eV per cell: -122.80

(5)
# PBE-GGA SrZrP2S, optimized geometry
data_SrZrP2S
_cell_length_a 5.056
_cell_length_b 5.056
_cell_length_c 5.038
_cell_angle_alpha 90.00
_cell_angle_beta 90.00
_cell_angle_gamma 90.00
_symmetry_space_group_name_H-M 'P 4/m m m'
_symmetry_Int_Tables_number 123
_symmetry_space_group_name_Hall '-P 4 2'
loop_
_atom_site_label
_atom_site_type_symbol
_atom_site_fract_x
_atom_site_fract_y
_atom_site_fract_z
_atom_site_occupancy
Sr1 Sr 0.000 0.000 0.000 1
Zr1 Zr 0.500 0.500 0.500 1
P1 P 0.000 0.500 0.500 1
S1 S 0.500 0.500 0.000 1
# Fermi-level density of states, states/eV per cell: 5.2
# Uncorrected formation energy, eV/atom: -0.789
# Mass density, Mg/m³: 3.52
# Polymorph energy (0 for the lowest one), meV per atom: 0
# Calculated total energy, eV per cell: -29.12

(6)
# PBE-GGA Mg2MnCl, optimized geometry
data_Mg2MnCl
_cell_length_a 7.399
_cell_length_b 7.399
_cell_length_c 6.454
_cell_angle_alpha 90.00
_cell_angle_beta 90.00
_cell_angle_gamma 90.00
_symmetry_space_group_name_H-M 'I -4 2 d'
_symmetry_Int_Tables_number 122
_symmetry_space_group_name_Hall 'I -4 2bw'
loop_
_atom_site_label
_atom_site_type_symbol
_atom_site_fract_x
_atom_site_fract_y
_atom_site_fract_z
_atom_site_occupancy
Mg1 Mg 0.227 0.250 0.125 1
Mn1 Mn 0.000 0.000 0.500 1
Cl1 Cl 0.000 0.000 0.000 1
# Fermi-level density of states, states/eV per cell: 7.5
# Uncorrected formation energy, eV/atom: 0.044
# Mass density, Mg/m³: 2.61
# Polymorph energy (0 for the lowest one), meV per atom: 349
# Calculated total energy, eV per cell: -56.12

Question: The lowest calculated total energy belongs to which entry?
Answer: Pu2InHg

Question: Which value of mass density does entry 5 give?
Answer: 3.52 Mg/m³

Question: Which formula does entry 5 have?
Answer: SrZrP2S